{"formula": "AcErAl2", "functional": "PBE", "state": "relaxed", "cell": [[3.748, 0.000, 0.000], [-1.874, 3.246, 0.000], [0.000, 0.000, 28.631]], "species": ["Ac", "Ac", "Ac", "Er", "Er", "Er", "Al", "Al", "Al", "Al", "Al", "Al"], "frac_coords": [[0.000, 0.000, 0.000], [0.333, 0.667, 0.667], [0.667, 0.333, 0.333], [0.000, 0.000, 0.500], [0.333, 0.667, 0.167], [0.667, 0.333, 0.833], [0.000, 0.000, 0.243], [0.000, 0.000, 0.757], [0.333, 0.667, 0.423], [0.333, 0.667, 0.910], [0.667, 0.333, 0.090], [0.667, 0.333, 0.577]], "space_group": "R-3m (166)", "formation_enthalpy_0k_ev_per_atom": -0.03}